Entry 1:
A plane-wave DFT calculation with GGA-PBE was carried out for an optimized crystal structure of ScCuNiB.

Properties
The polymorph energy (0 for the lowest one) is 0.077 eV per atom.

Lattice parameters (Å, degrees): 5.8094 5.8094 5.8094 90.00 90.00 90.00
Closest atoms and distances in Å follow each position.
Positions (direct):
Sc 0.0000 0.0000 0.0000  4 Ni 2.52, 4 B 2.52
Sc 0.0000 0.5000 0.5000  4 B 2.52, 4 Ni 2.52
Sc 0.5000 0.0000 0.5000  4 B 2.52, 4 Ni 2.52
Sc 0.5000 0.5000 0.0000  4 Ni 2.52, 4 B 2.52
Cu 0.0000 0.0000 0.5000  4 Ni 2.52, 4 B 2.52
Cu 0.0000 0.5000 0.0000  4 Ni 2.52, 4 B 2.52
Cu 0.5000 0.0000 0.0000  4 Ni 2.52, 4 B 2.52
Cu 0.5000 0.5000 0.5000  4 Ni 2.52, 4 B 2.52
Ni 0.2500 0.2500 0.2500  4 Sc 2.52, 4 Cu 2.52
Ni 0.2500 0.7500 0.7500  4 Sc 2.52, 4 Cu 2.52
Ni 0.7500 0.2500 0.7500  4 Sc 2.52, 4 Cu 2.52
Ni 0.7500 0.7500 0.2500  4 Sc 2.52, 4 Cu 2.52
B 0.2500 0.2500 0.7500  4 Sc 2.52, 4 Cu 2.52
B 0.2500 0.7500 0.2500  4 Sc 2.52, 4 Cu 2.52
B 0.7500 0.2500 0.2500  4 Sc 2.52, 4 Cu 2.52
B 0.7500 0.7500 0.7500  4 Cu 2.52, 4 Sc 2.52

Entry 2:
A plane-wave DFT calculation with GGA-PBE was carried out for an optimized crystal structure of TlW3Se5.

Properties
The calculated total energy comes out at -6.492 eV/atom.

Lattice parameters (Å, degrees): 5.6875 5.6875 7.5989 90.00 90.00 120.00
Closest atoms and distances in Å follow each position.
Positions (direct):
Tl 0.0000 0.0000 0.0000  14 Se 3.74-3.80
W 0.0000 0.5000 0.5000  6 Se 2.59-2.84, 4 W 2.84
W 0.5000 0.0000 0.5000  6 Se 2.59-2.84, 4 W 2.84
W 0.5000 0.5000 0.5000  6 Se 2.59-2.84, 4 W 2.84
Se 0.0000 0.0000 0.5000  6 W 2.84
Se 0.3333 0.6667 0.2357  3 W 2.59
Se 0.3333 0.6667 0.7643  3 W 2.59
Se 0.6667 0.3333 0.2357  3 W 2.59
Se 0.6667 0.3333 0.7643  3 W 2.59